Compound: Tb2Tl3HgTe6
Source: Alexandria via LeMat-Bulk
Functional: PBE
Structure: optimized geometry

The structure in POSCAR format:
```
Tb2Tl3HgTe6
1.0
7.775 -0.016 0.002
-3.900 6.727 0.002
-1.291 -2.235 7.891
Tl Te Hg Tb
3 6 1 2
Direct
0.828 0.172 0.500 Tl
0.172 0.828 0.500 Tl
0.500 0.500 0.500 Tl
0.261 0.261 0.778 Te
0.928 0.592 0.781 Te
0.739 0.739 0.222 Te
0.408 0.072 0.219 Te
0.072 0.408 0.219 Te
0.592 0.928 0.781 Te
0.000 0.000 0.000 Hg
0.666 0.334 0.000 Tb
0.334 0.666 0.000 Tb
```

## Properties
* final energy: -3.65 eV/atom
* ΔE_f (raw): -0.693 eV per atom
* volume: 412.28 Å³ per cell
* space group: C2/m (12)